## ThTeBr3 (GGA-PBE)

Data for a relaxed ThTeBr3 crystal.

Computed properties:
* raw formation energy: -1260 meV/atom
* calculated volume: 380.10 Å³/cell
* total energy: -43.757 eV/cell
* density of states at the Fermi level: 0.35 states/eV per atom

a = 6.591 Å, b = 7.195 Å, c = 8.016 Å
α = 89.88°, β = 90.00°, γ = 89.31°
Space group P1 (No. 1)
Inequivalent atoms, fractional coordinates:
Th  0.000  0.000  0.000 [1 per cell]
Th  0.500  0.500  0.001 [1 per cell]
Te  0.309  0.790  0.253 [1 per cell]
Te  0.809  0.291  0.748 [1 per cell]
Br  0.169  0.315  0.189 [1 per cell]
Br  0.172  0.687  0.801 [1 per cell]
Br  0.315  0.214  0.772 [1 per cell]
Br  0.670  0.816  0.812 [1 per cell]
Br  0.672  0.186  0.200 [1 per cell]
Br  0.815  0.713  0.229 [1 per cell]



## ThTl2Te2Br2 (GGA-PBE)

Data for a relaxed ThTl2Te2Br2 crystal.

Computed properties:
* raw formation energy: -989 meV/atom
* calculated volume: 620.58 Å³/cell
* total energy: -57.403 eV/cell

a = 6.182 Å, b = 6.182 Å, c = 16.238 Å
α = 90.00°, β = 90.00°, γ = 90.00°
Space group I4/mmm (No. 139)
Inequivalent atoms, fractional coordinates:
Th  0.000  0.000  0.000 [2 per cell]
Tl  0.000  0.000  0.383 [4 per cell]
Te  0.000  0.500  0.000 [4 per cell]
Br  0.000  0.000  0.175 [4 per cell]